(1)
Compound: Pa2SiPIr6
Source: the Alexandria database
Functional: PBE
Structure: optimized geometry

Formation energy (no corrections), eV/atom: -0.64
Density, Mg/m³: 15.33

a b c (Å): 5.491 8.404 7.862
angles (deg): 90.00 90.00 90.00
Fractional coordinates of all 20 atoms:
Pa (0.250, 0.013, 0.230)
Pa (0.250, 0.487, 0.230)
Pa (0.750, 0.513, 0.770)
Pa (0.750, 0.987, 0.770)
Si (0.250, 0.750, 0.769)
Si (0.750, 0.250, 0.231)
P (0.250, 0.250, 0.748)
P (0.750, 0.750, 0.252)
Ir (0.003, 0.250, 0.489)
Ir (0.003, 0.750, 0.017)
Ir (0.250, 0.001, 0.614)
Ir (0.250, 0.499, 0.614)
Ir (0.497, 0.250, 0.489)
Ir (0.497, 0.750, 0.017)
Ir (0.503, 0.250, 0.983)
Ir (0.503, 0.750, 0.511)
Ir (0.750, 0.501, 0.386)
Ir (0.750, 0.999, 0.386)
Ir (0.997, 0.250, 0.983)
Ir (0.997, 0.750, 0.511)

---

(2)
Compound: RbTbCd17
Source: the Alexandria database
Functional: PBE
Structure: optimized geometry

DFT formation energy, eV per atom: -0.070
Density, Mg/m³: 7.78

a b c (Å): 7.784 7.784 7.784
angles (deg): 82.39 82.39 82.39
Fractional coordinates of all 19 atoms:
Rb (0.000, 0.000, 0.000)
Tb (0.666, 0.666, 0.666)
Cd (0.039, 0.340, 0.632)
Cd (0.039, 0.632, 0.340)
Cd (0.211, 0.686, 0.686)
Cd (0.247, 0.247, 0.247)
Cd (0.321, 0.321, 0.855)
Cd (0.321, 0.855, 0.321)
Cd (0.340, 0.039, 0.632)
Cd (0.340, 0.632, 0.039)
Cd (0.445, 0.445, 0.445)
Cd (0.531, 0.960, 0.960)
Cd (0.632, 0.039, 0.340)
Cd (0.632, 0.340, 0.039)
Cd (0.686, 0.211, 0.686)
Cd (0.686, 0.686, 0.211)
Cd (0.855, 0.321, 0.321)
Cd (0.960, 0.531, 0.960)
Cd (0.960, 0.960, 0.531)

---

(3)
Compound: Sn4Sb3Te
Source: the Alexandria database
Functional: PBE
Structure: optimized geometry

Formation energy (no corrections), eV/atom: -0.05
Density, Mg/m³: 6.67

a b c (Å): 7.629 7.629 4.395
angles (deg): 90.00 90.00 109.54
Fractional coordinates of all 8 atoms:
Sn (0.242, 0.242, 0.500)
Sn (0.246, 0.754, 0.000)
Sn (0.754, 0.246, 0.000)
Sn (0.758, 0.758, 0.500)
Sb (0.000, 0.000, 0.000)
Sb (0.000, 0.500, 0.500)
Sb (0.500, 0.000, 0.500)
Te (0.500, 0.500, 0.000)

---

(4)
Compound: YBeZn2
Source: the Alexandria database
Functional: PBE
Structure: optimized geometry

DFT formation energy, eV per atom: 0.027
Density, Mg/m³: 5.25

a b c (Å): 4.019 4.076 4.412
angles (deg): 90.00 90.00 90.00
Fractional coordinates of all 4 atoms:
Y (0.000, 0.000, 0.000)
Be (0.500, 0.500, 0.000)
Zn (0.000, 0.500, 0.500)
Zn (0.500, 0.000, 0.500)

---

(5)
Compound: Y2Ga5Ag3
Source: the Alexandria database
Functional: PBE
Structure: optimized geometry

DFT formation energy, eV per atom: -0.369
Density, Mg/m³: 7.06

a b c (Å): 8.700 8.700 8.700
angles (deg): 101.23 92.57 139.50
Fractional coordinates of all 20 atoms:
Y (0.125, 0.245, 0.369)
Y (0.375, 0.745, 0.120)
Y (0.625, 0.255, 0.880)
Y (0.875, 0.755, 0.631)
Ga (0.013, 0.750, 0.263)
Ga (0.120, 0.646, 0.766)
Ga (0.250, 0.250, 0.000)
Ga (0.380, 0.146, 0.526)
Ga (0.487, 0.750, 0.737)
Ga (0.513, 0.250, 0.263)
Ga (0.620, 0.854, 0.474)
Ga (0.750, 0.750, 0.000)
Ga (0.880, 0.354, 0.234)
Ga (0.987, 0.250, 0.737)
Ag (0.132, 0.870, 0.002)
Ag (0.250, 0.750, 0.500)
Ag (0.368, 0.370, 0.739)
Ag (0.632, 0.630, 0.261)
Ag (0.750, 0.250, 0.500)
Ag (0.868, 0.130, 0.998)

---

(6)
Compound: InNi2Os
Source: the Alexandria database
Functional: PBE
Structure: optimized geometry

DFT formation energy, eV per atom: 0.312
Density, Mg/m³: 12.37

a b c (Å): 4.723 4.723 4.723
angles (deg): 132.18 132.18 69.95
Fractional coordinates of all 4 atoms:
In (0.000, 0.000, 0.000)
Ni (0.250, 0.750, 0.500)
Ni (0.500, 0.500, 0.000)
Os (0.750, 0.250, 0.500)

---

(7)
Compound: Ba6Hg2Ru
Source: the Alexandria database
Functional: PBE
Structure: optimized geometry

DFT formation energy, eV per atom: -0.158
Density, Mg/m³: 5.31

a b c (Å): 7.897 9.054 13.917
angles (deg): 90.00 123.54 90.00
Fractional coordinates of all 18 atoms:
Ba (0.122, 0.164, 0.443)
Ba (0.122, 0.336, 0.943)
Ba (0.287, 0.700, 0.443)
Ba (0.287, 0.800, 0.943)
Ba (0.376, 0.027, 0.254)
Ba (0.376, 0.473, 0.754)
Ba (0.624, 0.527, 0.246)
Ba (0.624, 0.973, 0.746)
Ba (0.713, 0.200, 0.057)
Ba (0.713, 0.300, 0.557)
Ba (0.878, 0.664, 0.057)
Ba (0.878, 0.836, 0.557)
Hg (0.203, 0.113, 0.754)
Hg (0.203, 0.387, 0.254)
Hg (0.797, 0.613, 0.746)
Hg (0.797, 0.887, 0.246)
Ru (0.500, 0.000, 0.500)
Ru (0.500, 0.500, 0.000)

---

(8)
Compound: Mg2Ni2Ru
Source: the Alexandria database
Functional: PBE
Structure: optimized geometry

DFT formation energy, eV per atom: 0.025
Density, Mg/m³: 5.89

a b c (Å): 6.186 6.186 3.938
angles (deg): 90.00 90.00 90.00
Fractional coordinates of all 10 atoms:
Mg (0.177, 0.323, 0.000)
Mg (0.323, 0.823, 0.000)
Mg (0.677, 0.177, 0.000)
Mg (0.823, 0.677, 0.000)
Ni (0.129, 0.629, 0.500)
Ni (0.371, 0.129, 0.500)
Ni (0.629, 0.871, 0.500)
Ni (0.871, 0.371, 0.500)
Ru (0.000, 0.000, 0.500)
Ru (0.500, 0.500, 0.500)

---

(9)
Compound: TlSnGeSe3
Source: the Alexandria database
Functional: PBE
Structure: optimized geometry

Formation energy (no corrections), eV/atom: -0.31
Density, Mg/m³: 5.36

a b c (Å): 8.830 4.672 9.606
angles (deg): 90.00 98.76 90.00
Fractional coordinates of all 12 atoms:
Tl (0.168, 0.250, 0.197)
Tl (0.832, 0.750, 0.803)
Sn (0.372, 0.750, 0.859)
Sn (0.628, 0.250, 0.141)
Ge (0.104, 0.250, 0.597)
Ge (0.896, 0.750, 0.403)
Se (0.123, 0.250, 0.848)
Se (0.176, 0.750, 0.516)
Se (0.410, 0.750, 0.143)
Se (0.590, 0.250, 0.857)
Se (0.824, 0.250, 0.484)
Se (0.877, 0.750, 0.152)

---

(10)
Compound: PrThSc6
Source: the Alexandria database
Functional: PBE
Structure: optimized geometry

DFT formation energy, eV per atom: 0.047
Density, Mg/m³: 4.99

a b c (Å): 4.729 4.729 9.559
angles (deg): 90.00 90.00 90.00
Fractional coordinates of all 8 atoms:
Pr (0.000, 0.000, 0.000)
Th (0.000, 0.000, 0.500)
Sc (0.000, 0.500, 0.255)
Sc (0.000, 0.500, 0.745)
Sc (0.500, 0.000, 0.255)
Sc (0.500, 0.000, 0.745)
Sc (0.500, 0.500, 0.000)
Sc (0.500, 0.500, 0.500)

---

(11)
Compound: La2Zn3PdAu12
Source: the Alexandria database
Functional: PBE
Structure: optimized geometry

DFT formation energy, eV per atom: -0.218
Density, Mg/m³: 12.30

a b c (Å): 10.457 10.457 10.457
angles (deg): 38.46 38.46 38.46
Fractional coordinates of all 18 atoms:
La (0.141, 0.141, 0.141)
La (0.859, 0.859, 0.859)
Zn (0.000, 0.500, 0.500)
Zn (0.500, 0.000, 0.500)
Zn (0.500, 0.500, 0.000)
Pd (0.500, 0.500, 0.500)
Au (0.090, 0.618, 0.618)
Au (0.091, 0.091, 0.683)
Au (0.091, 0.683, 0.091)
Au (0.317, 0.909, 0.909)
Au (0.382, 0.382, 0.910)
Au (0.382, 0.910, 0.382)
Au (0.618, 0.090, 0.618)
Au (0.618, 0.618, 0.090)
Au (0.683, 0.091, 0.091)
Au (0.909, 0.317, 0.909)
Au (0.909, 0.909, 0.317)
Au (0.910, 0.382, 0.382)

---

(12)
Compound: VH4Ru3
Source: the Alexandria database
Functional: PBE
Structure: optimized geometry

Density, Mg/m³: 9.43

a b c (Å): 3.980 3.980 3.980
angles (deg): 90.00 90.00 90.00
Fractional coordinates of all 8 atoms:
V (0.000, 0.000, 0.000)
H (0.000, 0.000, 0.500)
H (0.000, 0.500, 0.000)
H (0.500, 0.000, 0.000)
H (0.500, 0.500, 0.500)
Ru (0.000, 0.500, 0.500)
Ru (0.500, 0.000, 0.500)
Ru (0.500, 0.500, 0.000)

---

no.,E (eV/f.u.)
1,-89.434
2,-22.485
3,-31.932
4,-12.630
5,-40.305
6,-24.285
7,-22.838
8,-23.902
9,-23.283
10,-49.815
11,-62.130
12,-51.071